Record 1
VASP calculation (PBE) on a geometry-optimized PrNdSn structure.

Cell: 7.0053 5.0404 10.6605 Å, 90.00 90.00 90.00°
Last column: nearest neighbours and their distance in Å.
Space group Pnma (No. 62)
Unique sites:
Pr 0.1706 0.2500 0.0514 (multiplicity 4)  4 Sn 3.29-3.44, 2 Nd 3.50, 2 Pr 3.64
Nd 0.0775 0.2500 0.7072 (multiplicity 4)  5 Sn 3.28-3.65, 2 Pr 3.50, 2 Nd 3.62
Sn 0.1960 0.2500 0.3739 (multiplicity 4)  5 Nd 3.28-3.65, 4 Pr 3.29-3.44

Output
Energy above the lowest structure with this stoichiometry   0.0000 eV/atom
Formation enthalpy at 0 K   -597 meV/atom
Uncorrected energy   -5.11 eV per atom

---

Record 2
VASP calculation (PBE) on a geometry-optimized KRbGa2I4 structure.

Cell: 8.5602 4.9461 8.5879 Å, 90.00 109.45 90.00°
Last column: nearest neighbours and their distance in Å.
Space group P2/m (No. 10)
Unique sites:
K 0.0000 0.0000 0.0000 (multiplicity 1)  6 I 3.58-3.59
Rb 0.5000 0.5000 0.0000 (multiplicity 1)  6 I 3.65
Ga 0.0000 0.5000 0.5000 (multiplicity 1)  6 I 3.36
Ga 0.5000 0.0000 0.5000 (multiplicity 1)  6 I 3.42-3.43
I 0.2346 0.0000 0.7234 (multiplicity 2)  3 Ga 3.36-3.43, 1 K 3.58, 2 Rb 3.65
I 0.2514 0.5000 0.2721 (multiplicity 2)  3 Ga 3.36-3.42, 2 K 3.59, 1 Rb 3.65

Output
Uncorrected energy   -2.69 eV per atom
Formation energy without anion corrections   -0.90 eV/atom

---

Record 3
VASP calculation (PBE) on a geometry-optimized LiMg14Ga structure.

Cell: 6.3094 6.3094 10.2393 Å, 90.00 90.00 120.00°
Last column: nearest neighbours and their distance in Å.
Space group P-6m2 (No. 187)
Unique sites:
Li 0.0000 0.0000 0.0000 (multiplicity 1)  12 Mg 3.15
Mg 0.0010 0.5005 0.0000 (multiplicity 3)  10 Mg 3.13-3.17, 2 Li 3.15
Mg 0.1648 0.3296 0.2525 (multiplicity 6)  1 Ga 3.11, 10 Mg 3.12-3.19, 1 Li 3.15
Mg 0.5012 0.0024 0.5000 (multiplicity 3)  10 Mg 3.13-3.18, 2 Ga 3.15
Mg 0.6667 0.3333 0.2488 (multiplicity 2)  12 Mg 3.13-3.16
Ga 0.0000 0.0000 0.5000 (multiplicity 1)  12 Mg 3.11-3.15

Output
Energy above the lowest structure with this stoichiometry   0.0053 eV/atom
Formation enthalpy at 0 K   -22 meV/atom
Uncorrected energy   -1.73 eV per atom

---

Record 4
VASP calculation (PBE) on a geometry-optimized LiNd3Pd structure.

Cell: 6.4236 4.9391 8.8771 Å, 90.00 98.10 90.00°
Last column: nearest neighbours and their distance in Å.
Space group P2_1/m (No. 11)
Unique sites:
Li 0.1087 0.2500 0.2922 (multiplicity 2)  1 Pd 2.67
Nd 0.2341 0.2500 0.7531 (multiplicity 2)  2 Pd 3.03, 2 Li 3.30
Nd 0.2589 0.7500 0.0598 (multiplicity 2)  3 Pd 3.04-3.07
Nd 0.3102 0.7500 0.4775 (multiplicity 2)  1 Pd 2.92, 2 Li 3.14
Pd 0.4900 0.2500 0.2064 (multiplicity 2)  1 Li 2.67, 1 Nd 2.92

Output
Formation enthalpy at 0 K   -222 meV/atom
Uncorrected energy   -4.50 eV per atom

---

D(E_F)
In order: 2.2 0.0 7.2 4.4
Unit: states/eV/f.u.